(1)
# CrPbS2 | Alexandria via LeMat-Bulk | PBE | relaxed
# Uncorrected energy ... -5.853 eV per atom
# Energy relative to the elements, uncorrected ... -0.456 eV per atom
# Crystal system ... orthorhombic
# Total magnetization ... 1.41 μB per formula unit
data_CrPbS2
_space_group_name_H-M_alt 'P n m a'
_space_group_IT_number 62
_cell_length_a 6.452
_cell_length_b 3.327
_cell_length_c 16.266
_cell_angle_alpha 90.00
_cell_angle_beta 90.00
_cell_angle_gamma 90.00
loop_
_space_group_symop_operation_xyz
'x,y,z'
'-x,-y,-z'
'-x+1/2,-y,z+1/2'
'x+1/2,y,-z+1/2'
'x+1/2,-y+1/2,-z+1/2'
'-x+1/2,y+1/2,z+1/2'
'-x,y+1/2,-z'
'x,-y+1/2,z'
loop_
_atom_site_label
_atom_site_fract_x
_atom_site_fract_y
_atom_site_fract_z
_atom_site_occupancy
Cr1 0.070 0.250 0.063 1
Pb1 0.041 0.250 0.655 1
S1 0.032 0.750 0.164 1
S2 0.246 0.750 0.991 1

=====

(2)
# PmMn2SiN | Alexandria via LeMat-Bulk | PBE | relaxed
# Uncorrected energy ... -8.142 eV per atom
# Energy relative to the elements, uncorrected ... -0.775 eV per atom
# Crystal system ... orthorhombic
# Total magnetization ... 2.58 μB per formula unit
data_PmMn2SiN
_space_group_name_H-M_alt 'C m c m'
_space_group_IT_number 63
_space_group_name_Hall '-C 2c 2'
_cell_length_a 3.709
_cell_length_b 10.688
_cell_length_c 7.043
_cell_angle_alpha 90.00
_cell_angle_beta 90.00
_cell_angle_gamma 90.00
loop_
_atom_site_label
_atom_site_fract_x
_atom_site_fract_y
_atom_site_fract_z
_atom_site_occupancy
Pm1 0.000 0.045 0.250 1
Mn1 0.000 0.333 0.058 1
Si1 0.000 0.232 0.750 1
N1 0.000 0.500 0.000 1

=====

(3)
# BaPm4Tl3O12 | Alexandria via LeMat-Bulk | PBE | relaxed
# Uncorrected energy ... -6.499 eV per atom
# Energy relative to the elements, uncorrected ... -2.123 eV per atom
# Crystal system ... cubic
# Total magnetization ... 1.11 μB per formula unit
data_BaPm4Tl3O12
_space_group_name_H-M_alt 'I m -3'
_space_group_IT_number 204
_space_group_name_Hall '-I 2 2 3'
_cell_length_a 8.730
_cell_length_b 8.730
_cell_length_c 8.730
_cell_angle_alpha 90.00
_cell_angle_beta 90.00
_cell_angle_gamma 90.00
loop_
_atom_site_label
_atom_site_fract_x
_atom_site_fract_y
_atom_site_fract_z
_atom_site_occupancy
Ba1 0.000 0.000 0.000 1
Pm1 0.250 0.250 0.250 1
Tl1 0.000 0.000 0.500 1
O1 0.000 0.167 0.311 1

=====

(4)
# NaSrCo3 | Alexandria via LeMat-Bulk | PBE | relaxed
# Uncorrected energy ... -3.382 eV per atom
# Distance to the lowest polymorph of the same formula ... 0.0 meV per atom
# ΔH_f (0 K) ... 1.48 eV/atom
# Crystal system ... cubic
# Total magnetization ... 4.60 μB per formula unit
data_NaSrCo3
_space_group_name_H-M_alt 'P m -3 m'
_space_group_IT_number 221
_space_group_name_Hall '-P 4 2 3'
_cell_length_a 4.748
_cell_length_b 4.748
_cell_length_c 4.748
_cell_angle_alpha 90.00
_cell_angle_beta 90.00
_cell_angle_gamma 90.00
loop_
_atom_site_label
_atom_site_fract_x
_atom_site_fract_y
_atom_site_fract_z
_atom_site_occupancy
Na1 0.000 0.000 0.000 1
Sr1 0.500 0.500 0.500 1
Co1 0.000 0.000 0.500 1

=====

(5)
# Ac2TmBi | Alexandria via LeMat-Bulk | PBE | relaxed
# Uncorrected energy ... -4.455 eV per atom
# Distance to the lowest polymorph of the same formula ... 0.0 meV per atom
# ΔH_f (0 K) ... -0.31 eV/atom
# Crystal system ... tetragonal
# Total magnetization ... 0.00 μB per formula unit
data_Ac2TmBi
_space_group_name_H-M_alt 'P 4/m m m'
_space_group_IT_number 123
_space_group_name_Hall '-P 4 2'
_cell_length_a 5.320
_cell_length_b 5.320
_cell_length_c 5.017
_cell_angle_alpha 90.00
_cell_angle_beta 90.00
_cell_angle_gamma 90.00
loop_
_atom_site_label
_atom_site_fract_x
_atom_site_fract_y
_atom_site_fract_z
_atom_site_occupancy
Ac1 0.000 0.500 0.000 1
Tm1 0.000 0.000 0.500 1
Bi1 0.500 0.500 0.500 1

=====

(6)
# Zr2TeW | Alexandria via LeMat-Bulk | PBE | relaxed
# Uncorrected energy ... -8.303 eV per atom
# Distance to the lowest polymorph of the same formula ... 188.8 meV per atom
# Energy relative to the elements, uncorrected ... -0.005 eV per atom
# Crystal system ... monoclinic
# Total magnetization ... 0.00 μB per formula unit
data_Zr2TeW
_space_group_name_H-M_alt 'C 1 2/m 1'
_space_group_IT_number 12
_cell_length_a 10.190
_cell_length_b 3.774
_cell_length_c 4.853
_cell_angle_alpha 90.00
_cell_angle_beta 118.15
_cell_angle_gamma 90.00
loop_
_space_group_symop_operation_xyz
'x,y,z'
'-x,-y,-z'
'-x,y,-z'
'x,-y,z'
'x+1/2,y+1/2,z'
'-x+1/2,-y+1/2,-z'
'-x+1/2,y+1/2,-z'
'x+1/2,-y+1/2,z'
loop_
_atom_site_label
_atom_site_fract_x
_atom_site_fract_y
_atom_site_fract_z
_atom_site_occupancy
Zr1 0.237 0.000 0.237 1
Te1 0.000 0.000 0.500 1
W1 0.000 0.500 0.000 1